First-principles (GGA-PBE) data for crystalline CaIn5Hg4 at its relaxed geometry, as listed in Alexandria.

a b c (Å): 6.121 9.359 9.678
angles (deg): 90.00 90.00 90.00
Fractional positions:
In: 0.260 0.768 0.699
In: 0.260 0.768 0.301
In: 0.092 0.000 0.500
In: 0.260 0.232 0.301
In: 0.740 0.732 0.199
In: 0.260 0.232 0.699
In: 0.740 0.268 0.801
In: 0.740 0.732 0.801
In: 0.908 0.500 0.000
In: 0.740 0.268 0.199
Ca: 0.507 0.500 0.500
Ca: 0.493 0.000 0.000
Hg: 0.008 0.500 0.343
Hg: 0.992 0.000 0.843
Hg: 0.326 0.329 0.000
Hg: 0.008 0.500 0.657
Hg: 0.992 0.000 0.157
Hg: 0.674 0.171 0.500
Hg: 0.674 0.829 0.500
Hg: 0.326 0.671 0.000

Summary:
DFT formation energy = -8.5 kJ per mole of atoms
total moment = 0.00 μB per atom
ρ = 8.49 g/cm³